No. 1
Density functional theory data (PBE) for a geometry-optimized Ta2GaB structure.

```
Ta2GaB
1.0
-0.400 0.450 4.297
-3.930 -0.103 1.835
-1.168 -3.395 2.437
Ta Ga B
2 1 1
Direct
0.250 0.250 0.250
0.750 0.750 0.750
0.500 0.500 0.500
0.000 0.000 0.000
```

energy of formation from the pure elements: 0.399 eV/atom
symmetry: Fm-3m, No. 225
E above lowest polymorph: 819 meV/atom

No. 2
Density functional theory data (PBE) for a geometry-optimized Ta2GaB structure.

```
Ta2GaB
1.0
6.610 0.000 0.000
0.000 6.610 0.000
3.305 3.305 2.773
Ta Ga B
4 2 2
Direct
0.875 0.836 0.750
0.164 0.625 0.250
0.375 0.414 0.750
0.586 0.125 0.250
0.000 0.000 0.000
0.750 0.250 0.500
0.250 0.750 0.500
0.500 0.500 0.000
```

energy of formation from the pure elements: 0.087 eV/atom
symmetry: I-42d, No. 122
E above lowest polymorph: 507 meV/atom

No. 3
Density functional theory data (PBE) for a geometry-optimized Ta2GaB2 structure.

```
Ta2GaB2
1.0
-3.629 -1.297 4.517
-0.059 -5.694 -1.682
2.692 -0.615 1.986
Ta Ga B
4 2 4
Direct
0.320 0.180 0.500
0.680 0.820 0.500
0.820 0.320 0.500
0.180 0.680 0.500
0.000 0.000 0.000
0.500 0.500 0.000
0.896 0.604 0.000
0.104 0.396 0.000
0.396 0.896 0.000
0.604 0.104 0.000
```

energy of formation from the pure elements: -0.331 eV/atom
symmetry: P4/mbm, No. 127

No. 4
Density functional theory data (PBE) for a geometry-optimized Ta5Ga2B2 structure.

```
Ta5Ga2B2
1.0
-3.482 4.299 3.246
0.876 -3.282 5.288
3.774 5.662 2.889
Ga B Ta
4 4 10
Direct
0.724 0.500 0.552
0.776 0.000 0.448
0.224 0.000 0.552
0.276 0.500 0.448
0.607 0.108 0.000
0.107 0.392 0.000
0.893 0.608 0.000
0.393 0.892 0.000
0.440 0.177 0.770
0.290 0.677 0.770
0.940 0.323 0.770
0.210 0.177 0.230
0.000 0.000 0.000
0.790 0.823 0.770
0.500 0.500 0.000
0.560 0.823 0.230
0.060 0.677 0.230
0.710 0.323 0.230
```

energy of formation from the pure elements: -0.336 eV/atom
symmetry: Cmce, No. 64

No. 5
Density functional theory data (PBE) for a geometry-optimized Ta6Ga2B structure.

```
Ta6Ga2B
1.0
5.340 0.000 0.196
0.000 6.769 0.000
-0.413 0.000 8.224
Ta Ga B
12 4 2
Direct
0.859 0.688 0.554
0.641 0.188 0.946
0.404 0.509 0.726
0.596 0.491 0.274
0.644 0.173 0.549
0.359 0.812 0.054
0.096 0.009 0.774
0.856 0.673 0.951
0.356 0.827 0.451
0.144 0.327 0.049
0.904 0.991 0.226
0.141 0.312 0.446
0.931 0.384 0.745
0.569 0.884 0.755
0.069 0.616 0.255
0.431 0.116 0.245
0.000 0.000 0.500
0.500 0.500 0.000
```

energy of formation from the pure elements: -0.184 eV/atom
symmetry: P2_1/c, No. 14

No. 6
Density functional theory data (PBE) for a geometry-optimized TaGaB3 structure.

```
TaGaB3
1.0
-2.700 0.117 -3.407
0.859 -4.183 -0.824
-3.299 -1.185 2.574
B Ta Ga
3 1 1
Direct
0.500 0.000 0.000
0.000 0.000 0.500
0.000 0.500 0.000
0.000 0.000 0.000
0.500 0.500 0.500
```

energy of formation from the pure elements: 1.470 eV/atom
symmetry: Pm-3m, No. 221
E above lowest polymorph: 0 meV/atom

No. 7
Density functional theory data (PBE) for a geometry-optimized TaGaBW2 structure.

```
TaGaBW2
1.0
4.761 0.000 0.000
0.000 3.611 0.000
0.000 0.000 4.761
Ga W Ta B
1 2 1 1
Direct
0.000 0.000 0.000
0.000 0.000 0.500
0.500 0.000 0.000
0.500 0.500 0.500
0.000 0.500 0.000
```

energy of formation from the pure elements: 1.546 eV/atom
symmetry: P4/mmm, No. 123

No. 8
Density functional theory data (PBE) for a geometry-optimized Y2TaGaB structure.

```
Y2TaGaB
1.0
-1.536 4.620 1.697
0.139 -1.321 3.724
4.918 1.506 0.351
Ga Ta B Y
1 1 1 2
Direct
0.000 0.500 0.000
0.500 0.500 0.500
0.000 0.000 0.000
0.500 0.000 0.000
0.000 0.000 0.500
```

energy of formation from the pure elements: 0.370 eV/atom
symmetry: P4/mmm, No. 123

No. 9
Density functional theory data (PBE) for a geometry-optimized Tb2GaB structure.

```
Tb2GaB
1.0
3.744 0.000 0.000
1.872 3.242 0.000
1.872 1.081 8.931
Ga Tb B
1 2 1
Direct
0.000 0.000 0.000
0.885 0.885 0.346
0.115 0.115 0.654
0.500 0.500 0.500
```

energy of formation from the pure elements: 0.158 eV/atom
symmetry: R-3m, No. 166

No. 10
Density functional theory data (PBE) for a geometry-optimized Ga3TcB structure.

```
Ga3TcB
1.0
4.800 0.000 0.000
0.000 4.800 0.000
0.000 0.000 4.800
B Ga Tc
1 3 1
Direct
0.500 0.500 0.500
0.000 0.000 0.500
0.000 0.500 0.000
0.500 0.000 0.000
0.000 0.000 0.000
```

energy of formation from the pure elements: 1.037 eV/atom
symmetry: Pm-3m, No. 221
E above lowest polymorph: 202 meV/atom

No. 11
Density functional theory data (PBE) for a geometry-optimized GaTcB3 structure.

```
GaTcB3
1.0
-1.557 -1.738 -3.439
-3.127 -1.599 2.224
-2.253 3.420 -0.709
B Tc Ga
3 1 1
Direct
0.000 0.500 0.000
0.000 0.000 0.500
0.500 0.000 0.000
0.000 0.000 0.000
0.500 0.500 0.500
```

energy of formation from the pure elements: 1.012 eV/atom
symmetry: Pm-3m, No. 221
E above lowest polymorph: 0 meV/atom

No. 12
Density functional theory data (PBE) for a geometry-optimized GaTc2B structure.

```
GaTc2B
1.0
-3.239 -2.640 -1.654
-0.984 -3.887 2.028
-3.975 -0.390 2.303
Ga Tc B
1 2 1
Direct
0.500 0.500 0.500
0.174 0.174 0.478
0.826 0.826 0.522
0.000 0.000 0.000
```

energy of formation from the pure elements: 0.440 eV/atom
symmetry: R-3m, No. 166
E above lowest polymorph: 644 meV/atom

No. 13
Density functional theory data (PBE) for a geometry-optimized Ga2Tc5B2 structure.

```
Ga2Tc5B2
1.0
5.559 0.000 2.018
0.000 5.876 0.000
0.502 0.000 7.284
Tc Ga B
10 4 4
Direct
0.500 0.500 0.000
0.000 0.000 0.000
0.937 0.321 0.773
0.437 0.179 0.773
0.063 0.679 0.227
0.563 0.821 0.227
0.790 0.821 0.773
0.210 0.179 0.227
0.290 0.679 0.773
0.710 0.321 0.227
0.772 0.000 0.456
0.272 0.500 0.456
0.728 0.500 0.544
0.228 0.000 0.544
0.612 0.113 0.000
0.112 0.387 0.000
0.388 0.887 0.000
0.888 0.613 0.000
```

energy of formation from the pure elements: -0.154 eV/atom
symmetry: Cmce, No. 64

No. 14
Density functional theory data (PBE) for a geometry-optimized GaTc12B6 structure.

```
GaTc12B6
1.0
6.247 0.000 -2.209
-3.124 5.410 -2.209
0.000 0.000 6.626
Tc B Ga
12 6 1
Direct
0.187 0.697 0.884
0.303 0.490 0.187
0.116 0.813 0.303
0.303 0.116 0.813
0.813 0.303 0.116
0.697 0.884 0.187
0.510 0.813 0.697
0.697 0.510 0.813
0.187 0.303 0.490
0.490 0.187 0.303
0.813 0.697 0.510
0.884 0.187 0.697
0.116 0.616 0.500
0.884 0.384 0.500
0.616 0.500 0.116
0.500 0.884 0.384
0.384 0.500 0.884
0.500 0.116 0.616
0.000 0.000 0.000
```

energy of formation from the pure elements: -0.304 eV/atom
symmetry: Im-3, No. 204

No. 15
Density functional theory data (PBE) for a geometry-optimized Ga3TcB structure.

```
Ga3TcB
1.0
-0.058 -3.841 -1.823
2.180 -1.592 3.285
-3.650 -0.890 1.991
Ga B Tc
3 1 1
Direct
0.000 0.000 0.500
0.500 0.000 0.000
0.000 0.500 0.000
0.000 0.000 0.000
0.500 0.500 0.500
```

energy of formation from the pure elements: 0.835 eV/atom
symmetry: Pm-3m, No. 221
E above lowest polymorph: 0 meV/atom

No. 16
Density functional theory data (PBE) for a geometry-optimized GaTc2B structure.

```
GaTc2B
1.0
2.436 -3.059 -1.307
2.582 -1.846 2.631
-0.720 -3.872 1.219
B Ga Tc
1 1 2
Direct
0.000 0.000 0.000
0.500 0.500 0.500
0.250 0.250 0.250
0.750 0.750 0.750
```

energy of formation from the pure elements: 0.325 eV/atom
symmetry: Fm-3m, No. 225
E above lowest polymorph: 530 meV/atom

No. 17
Density functional theory data (PBE) for a geometry-optimized GaTc2B structure.

```
GaTc2B
1.0
-0.145 2.842 -0.930
-1.346 0.661 -2.592
-6.299 1.920 2.032
Tc B Ga
2 1 1
Direct
0.270 0.270 0.189
0.063 0.063 0.810
0.666 0.666 0.001
0.500 0.500 0.501
```

energy of formation from the pure elements: -0.204 eV/atom
symmetry: R3m, No. 160
E above lowest polymorph: 0 meV/atom

No. 18
Density functional theory data (PBE) for a geometry-optimized GaTcB3 structure.

```
GaTcB3
1.0
3.930 0.000 0.000
0.000 3.930 0.000
0.000 0.000 3.930
Tc B Ga
1 3 1
Direct
0.500 0.500 0.500
0.000 0.500 0.000
0.500 0.000 0.000
0.000 0.000 0.500
0.000 0.000 0.000
```

energy of formation from the pure elements: 2.138 eV/atom
symmetry: Pm-3m, No. 221
E above lowest polymorph: 1127 meV/atom

No. 19
Density functional theory data (PBE) for a geometry-optimized GaTc2B structure.

```
GaTc2B
1.0
3.822 0.000 0.000
0.000 3.822 0.000
1.911 1.911 8.164
Tc B Ga
4 2 2
Direct
0.875 0.799 0.750
0.201 0.625 0.250
0.549 0.125 0.250
0.375 0.451 0.750
0.250 0.750 0.500
0.500 0.500 0.000
0.000 0.000 0.000
0.750 0.250 0.500
```

energy of formation from the pure elements: 0.621 eV/atom
symmetry: I-42d, No. 122
E above lowest polymorph: 826 meV/atom

No. 20
Density functional theory data (PBE) for a geometry-optimized ThGa2Tc2B structure.

```
ThGa2Tc2B
1.0
-1.120 -3.873 1.404
3.375 -0.029 2.614
-3.052 2.321 3.967
Th B Ga Tc
1 1 2 2
Direct
0.000 0.000 0.500
0.000 0.000 0.000
0.500 0.500 0.270
0.500 0.500 0.730
0.500 0.000 0.000
0.000 0.500 0.000
```

energy of formation from the pure elements: -0.512 eV/atom
symmetry: P4/mmm, No. 123

No. 21
Density functional theory data (PBE) for a geometry-optimized V2GaTcB structure.

```
V2GaTcB
1.0
-1.291 3.761 -0.780
-1.149 -1.168 -3.728
-3.667 -0.962 1.432
B Tc V Ga
1 1 2 1
Direct
0.000 0.000 0.000
0.000 0.500 0.000
0.500 0.000 0.000
0.000 0.000 0.500
0.500 0.500 0.500
```

energy of formation from the pure elements: -0.047 eV/atom
symmetry: P4/mmm, No. 123

No. 22
Density functional theory data (PBE) for a geometry-optimized YGa2Tc2B structure.

```
YGa2Tc2B
1.0
-2.199 -3.483 0.965
2.088 -2.147 -2.988
3.816 -1.392 3.668
Tc Y Ga B
2 1 2 1
Direct
0.000 0.500 0.000
0.500 0.000 0.000
0.000 0.000 0.500
0.500 0.500 0.726
0.500 0.500 0.274
0.000 0.000 0.000
```

energy of formation from the pure elements: -0.464 eV/atom
symmetry: P4/mmm, No. 123

No. 23
Density functional theory data (PBE) for a geometry-optimized ZrGaTc2B structure.

```
ZrGaTc2B
1.0
4.819 0.000 0.000
0.000 4.819 0.000
0.000 0.000 5.201
B Tc Ga Zr
1 2 1 1
Direct
0.500 0.500 0.500
0.000 0.500 0.000
0.500 0.000 0.000
0.000 0.000 0.500
0.000 0.000 0.000
```

energy of formation from the pure elements: 2.416 eV/atom
symmetry: P4/mmm, No. 123

No. 24
Density functional theory data (PBE) for a geometry-optimized GaB2Te structure.

```
GaB2Te
1.0
0.000 3.076 3.076
3.076 0.000 3.076
3.076 3.076 0.000
B Ga Te
2 1 1
Direct
0.750 0.750 0.750
0.250 0.250 0.250
0.000 0.000 0.000
0.500 0.500 0.500
```

symmetry: Fm-3m, No. 225
formation energy (no corrections): 1.531 eV per atom
E above lowest polymorph: 902 meV/atom

No. 25
Density functional theory data (PBE) for a geometry-optimized Ga3BTe structure.

```
Ga3BTe
1.0
4.557 0.000 0.000
0.000 4.557 0.000
0.000 0.000 4.557
B Ga Te
1 3 1
Direct
0.000 0.000 0.000
0.500 0.000 0.000
0.000 0.000 0.500
0.000 0.500 0.000
0.500 0.500 0.500
```

symmetry: Pm-3m, No. 221
formation energy (no corrections): 0.181 eV per atom
E above lowest polymorph: 0 meV/atom

Number 1: calculated total energy -7.953 eV/atom, calculated volume 14.4 A^3/atom, density 12.72 Mg/m³. Number 2: calculated total energy -8.266 eV/atom, calculated volume 15.1 A^3/atom, density 12.13 Mg/m³. Number 3: calculated total energy -8.349 eV/atom, calculated volume 12.0 A^3/atom, density 12.55 Mg/m³. Number 4: calculated total energy -9.077 eV/atom, calculated volume 14.9 A^3/atom, density 13.18 Mg/m³. Number 5: calculated total energy -9.500 eV/atom, calculated volume 16.5 A^3/atom, density 13.78 Mg/m³. Number 6: calculated total energy -5.512 eV/atom, calculated volume 16.5 A^3/atom, density 5.72 Mg/m³. Number 7: calculated total energy -7.947 eV/atom, calculated volume 16.4 A^3/atom, density 12.76 Mg/m³. Number 8: calculated total energy -6.527 eV/atom, calculated volume 21.0 A^3/atom, density 6.94 Mg/m³. Number 9: calculated total energy -4.583 eV/atom, calculated volume 27.1 A^3/atom, density 6.10 Mg/m³. Number 10: calculated total energy -4.188 eV/atom, calculated volume 22.1 A^3/atom, density 4.78 Mg/m³. Number 11: calculated total energy -5.673 eV/atom, calculated volume 14.4 A^3/atom, density 4.63 Mg/m³. Number 12: calculated total energy -7.169 eV/atom, calculated volume 16.7 A^3/atom, density 6.89 Mg/m³. Number 13: calculated total energy -8.069 eV/atom, calculated volume 12.9 A^3/atom, density 9.32 Mg/m³. Number 14: calculated total energy -9.119 eV/atom, calculated volume 11.8 A^3/atom, density 9.72 Mg/m³. Number 15: calculated total energy -4.390 eV/atom, calculated volume 15.4 A^3/atom, density 6.87 Mg/m³. Number 16: calculated total energy -7.284 eV/atom, calculated volume 12.4 A^3/atom, density 9.27 Mg/m³. Number 17: calculated total energy -7.813 eV/atom, calculated volume 12.9 A^3/atom, density 8.87 Mg/m³. Number 18: calculated total energy -4.547 eV/atom, calculated volume 12.1 A^3/atom, density 5.48 Mg/m³. Number 19: calculated total energy -6.988 eV/atom, calculated volume 14.9 A^3/atom, density 7.70 Mg/m³. Number 20: calculated total energy -7.325 eV/atom, calculated volume 16.8 A^3/atom, density 9.55 Mg/m³. Number 21: calculated total energy -7.709 eV/atom, calculated volume 13.4 A^3/atom, density 6.96 Mg/m³. Number 22: calculated total energy -7.118 eV/atom, calculated volume 16.3 A^3/atom, density 7.38 Mg/m³. Number 23: calculated total energy -5.381 eV/atom, calculated volume 24.2 A^3/atom, density 5.06 Mg/m³. Number 24: calculated total energy -3.350 eV/atom, calculated volume 14.5 A^3/atom, density 6.25 Mg/m³. Number 25: calculated total energy -3.599 eV/atom, calculated volume 18.9 A^3/atom, density 6.10 Mg/m³.